VASP calculation (PBE-GGA) on a geometry-optimized CdSnAsBr2 structure.

Results
* total magnetic moment: 1.435 Bohr magnetons per cell
* DOS(E_F): 0.6087 states/eV/atom
* V: 34.44 A^3/atom
* formation energy from raw total energies: 35 kJ/mol of atoms
* relative energy among the computed polymorphs: 270.3 meV per atom

a = 5.1931 Å, b = 5.1931 Å, c = 6.3847 Å
α = 90.00°, β = 90.00°, γ = 90.00°
Last column: nearest neighbours and their distance in Å.
Space group P4/mmm (No. 123)
Inequivalent atoms, fractional coordinates:
Cd1 0.0000 0.0000 0.0000 (multiplicity 1)  4 Br 2.60
Sn1 0.0000 0.0000 0.5000 (multiplicity 1)  2 Cd 3.19
As1 0.5000 0.5000 0.5000 (multiplicity 1)  4 Sn 3.67
Br1 0.0000 0.5000 0.0000 (multiplicity 2)  2 Cd 2.60

=====

VASP calculation (PBE-GGA) on a geometry-optimized CdSnAsBr2 structure.

Results
* total magnetic moment: 0.979 Bohr magnetons per cell
* DOS(E_F): 0.7725 states/eV/atom
* V: 34.28 A^3/atom
* formation energy from raw total energies: 9 kJ/mol of atoms
* relative energy among the computed polymorphs: 0.0 meV per atom

a = 5.5541 Å, b = 5.5541 Å, c = 5.5568 Å
α = 90.00°, β = 90.00°, γ = 90.00°
Last column: nearest neighbours and their distance in Å.
Space group P4/mmm (No. 123)
Inequivalent atoms, fractional coordinates:
Cd1 0.0000 0.0000 0.0000 (multiplicity 1)  4 As 3.93, 8 Br 3.93
Sn1 0.5000 0.5000 0.5000 (multiplicity 1)  4 Br 2.78, 2 As 2.78
As1 0.5000 0.5000 0.0000 (multiplicity 1)  2 Sn 2.78
Br1 0.0000 0.5000 0.5000 (multiplicity 2)  2 Sn 2.78